A PBEsol-optimized structure of SrZn3Rh, computed with meta-GGA SCAN.

Cell lengths 10.7589, 4.3034, 9.1693 Å; angles 90.00, 110.38, 90.00 degrees
Last column: nearest neighbours and their distance in Å.
Space group C2/m (No. 12)
One atom of each set of equivalent atoms:
Sr (0.1472, 0.0000, 0.2799)  6 Zn 3.03-3.39, 3 Rh 3.05-3.29
Zn (0.0000, 0.5000, 0.0000)  2 Rh 2.44
Zn (0.0000, 0.5000, 0.5000)  4 Zn 2.54, 2 Rh 2.56
Zn (0.1022, 0.0000, 0.6381)  4 Zn 2.54-2.71, 2 Rh 2.61
Zn (0.1994, 0.0000, 0.9365)  3 Zn 2.51-2.57, 3 Rh 2.54-2.64
Rh (0.0990, 0.5000, 0.7977)  7 Zn 2.44-2.64



A PBEsol-optimized structure of CaCdOs, computed with meta-GGA SCAN.

Cell lengths 6.5070, 6.5070, 6.5070 Å; angles 90.00, 90.00, 90.00 degrees
Last column: nearest neighbours and their distance in Å.
Space group F-43m (No. 216)
One atom of each set of equivalent atoms:
Ca (0.0000, 0.0000, 0.0000)  4 Os 2.82
Cd (0.0000, 0.0000, 0.5000)  4 Os 2.82
Os (0.2500, 0.2500, 0.7500)  4 Cd 2.82, 4 Ca 2.82



| no. | distance to the lowest polymorph of the same formula (meV/atom) | ΔE_f (eV per atom) | VASP energy (eV per atom) |
| --- | --- | --- | --- |
| 1 | 0.0 | -0.39 | -19.71 |
| 2 | 406.0 | 0.79 | -36.53 |